DFT (PBE) results for crystalline YAl6Ag12 at its relaxed geometry.

Cell lengths 7.4794, 7.4794, 7.4794 Å; angles 105.35, 105.35, 105.35 degrees
Closest atoms and distances in Å follow each position.
Atoms (fractional coordinates):
Ag1 0.1170 0.8830 0.5000  4 Al 2.62-2.72, 3 Ag 2.78-2.84
Ag2 0.8830 0.5000 0.1170  4 Al 2.62-2.72, 3 Ag 2.78-2.84
Ag3 0.5000 0.1170 0.8830  4 Al 2.62-2.72, 3 Ag 2.78-2.84
Ag4 0.1170 0.5000 0.8830  4 Al 2.62-2.72, 3 Ag 2.78-2.84
Ag5 0.6192 0.8670 0.6192  4 Al 2.72-2.96, 4 Ag 2.84-2.95
Ag6 0.5000 0.8830 0.1170  4 Al 2.62-2.72, 3 Ag 2.78-2.84
Ag7 0.8830 0.1170 0.5000  4 Al 2.62-2.72, 3 Ag 2.78-2.84
Ag8 0.8670 0.6192 0.6192  4 Al 2.72-2.96, 4 Ag 2.84-2.95
Ag9 0.3808 0.1330 0.3808  4 Al 2.72-2.96, 4 Ag 2.84-2.95
Ag10 0.6192 0.6192 0.8670  4 Al 2.72-2.96, 4 Ag 2.84-2.95
Ag11 0.3808 0.3808 0.1330  4 Al 2.72-2.96, 4 Ag 2.84-2.95
Ag12 0.1330 0.3808 0.3808  4 Al 2.72-2.96, 4 Ag 2.84-2.95
Al1 0.2827 0.6996 0.2827  7 Ag 2.62-2.75
Al2 0.7173 0.3004 0.7173  7 Ag 2.62-2.75
Al3 0.2827 0.2827 0.6996  7 Ag 2.62-2.75
Al4 0.7173 0.7173 0.3004  7 Ag 2.62-2.75
Al5 0.3004 0.7173 0.7173  7 Ag 2.62-2.75
Al6 0.6996 0.2827 0.2827  7 Ag 2.62-2.75
Y1 0.0000 0.0000 0.0000  6 Ag 3.15

---

DFT (PBE) results for crystalline La6Sm2Tl at its relaxed geometry.

Cell lengths 3.7529, 9.8949, 9.8949 Å; angles 120.00, 90.00, 90.00 degrees
Closest atoms and distances in Å follow each position.
Atoms (fractional coordinates):
Sm1 0.0000 0.6666 0.3333  9 La 3.57-3.66, 2 Sm 3.75
Sm2 0.0000 0.3333 0.6667  9 La 3.57-3.66, 2 Sm 3.75
La1 0.5000 0.6316 0.0000  1 Tl 3.65, 4 Sm 3.66, 8 La 3.75-3.93
La2 0.5000 0.3685 0.3685  1 Tl 3.65, 4 Sm 3.66, 8 La 3.75-3.93
La3 0.0000 0.0000 0.2830  2 Tl 3.37, 2 Sm 3.57, 2 La 3.75
La4 0.0000 0.2830 0.0000  2 Tl 3.37, 2 Sm 3.57, 2 La 3.75
La5 0.0000 0.7170 0.7170  2 Tl 3.37, 2 Sm 3.57, 2 La 3.75
La6 0.5000 0.0000 0.6315  1 Tl 3.65, 4 Sm 3.66, 8 La 3.75-3.93
Tl1 0.5000 0.0000 0.0000  9 La 3.37-3.65, 2 Tl 3.75

---

DFT (PBE) results for crystalline Na2SnBr6 at its relaxed geometry.

Formation energy from raw total energies ... -1.04 eV/atom

Cell lengths 7.5441, 7.1836, 10.6167 Å; angles 93.19, 90.00, 90.00 degrees
Closest atoms and distances in Å follow each position.
Atoms (fractional coordinates):
Sn1 0.0000 0.0000 0.5000  6 Br 2.65-2.66
Sn2 0.5000 0.5000 0.0000  6 Br 2.65-2.66
Na1 0.0956 0.4648 0.2841  7 Br 3.04-3.38
Na2 0.4044 0.9648 0.7841  7 Br 3.04-3.38
Na3 0.9044 0.5352 0.7159  7 Br 3.04-3.38
Na4 0.5956 0.0352 0.2159  7 Br 3.04-3.38
Br1 0.7924 0.3276 0.0698  1 Sn 2.66
Br2 0.5465 0.3591 0.7659  1 Sn 2.65
Br3 0.4535 0.6409 0.2341  1 Sn 2.65
Br4 0.2924 0.1724 0.4302  1 Sn 2.66
Br5 0.3089 0.2043 0.0564  1 Sn 2.66
Br6 0.1911 0.7043 0.5564  1 Sn 2.66
Br7 0.8089 0.2957 0.4436  1 Sn 2.66
Br8 0.7076 0.8276 0.5698  1 Sn 2.66
Br9 0.0465 0.1409 0.7341  1 Sn 2.65
Br10 0.2076 0.6724 0.9302  1 Sn 2.66
Br11 0.9535 0.8591 0.2659  1 Sn 2.65
Br12 0.6911 0.7957 0.9436  1 Sn 2.66

---

DFT (PBE) results for crystalline Tb6PmDy3 at its relaxed geometry.

Cell lengths 6.2045, 10.9929, 10.9929 Å; angles 119.73, 90.00, 90.00 degrees
Closest atoms and distances in Å follow each position.
Atoms (fractional coordinates):
Tb1 0.8669 0.9559 0.5359  5 Tb 3.21-3.46, 2 Pm 3.28-3.47, 2 Dy 3.29-3.56
Tb2 0.0361 0.7104 0.6197  4 Dy 3.42-3.63, 5 Tb 3.42-3.78
Tb3 0.1412 0.7191 0.2809  4 Tb 3.21-3.41, 1 Dy 3.37, 2 Pm 3.42-3.44
Tb4 0.8669 0.4641 0.0441  5 Tb 3.21-3.46, 2 Pm 3.28-3.47, 2 Dy 3.29-3.56
Tb5 0.3669 0.5359 0.9559  5 Tb 3.21-3.46, 2 Pm 3.28-3.47, 2 Dy 3.29-3.56
Tb6 0.5361 0.6197 0.7104  4 Dy 3.42-3.63, 5 Tb 3.42-3.78
Tb7 0.9097 0.0448 0.9552  1 Pm 3.35, 4 Dy 3.52-3.60, 2 Tb 3.54
Tb8 0.5361 0.2896 0.3803  4 Dy 3.42-3.63, 5 Tb 3.42-3.78
Tb9 0.4097 0.9552 0.0448  1 Pm 3.35, 4 Dy 3.52-3.60, 2 Tb 3.54
Tb10 0.6412 0.2809 0.7191  4 Tb 3.21-3.41, 1 Dy 3.37, 2 Pm 3.42-3.44
Tb11 0.0361 0.3803 0.2896  4 Dy 3.42-3.63, 5 Tb 3.42-3.78
Tb12 0.3669 0.0441 0.4641  5 Tb 3.21-3.46, 2 Pm 3.28-3.47, 2 Dy 3.29-3.56
Dy1 0.4590 0.9388 0.7179  1 Pm 3.27, 6 Tb 3.29-3.60
Dy2 0.5714 0.6112 0.3888  5 Tb 3.37-3.63, 1 Pm 3.54, 2 Dy 3.69
Dy3 0.4590 0.2821 0.0612  1 Pm 3.27, 6 Tb 3.29-3.60
Dy4 0.9590 0.0612 0.2821  1 Pm 3.27, 6 Tb 3.29-3.60
Dy5 0.0714 0.3888 0.6112  5 Tb 3.37-3.63, 1 Pm 3.54, 2 Dy 3.69
Dy6 0.9590 0.7179 0.9388  1 Pm 3.27, 6 Tb 3.29-3.60
Pm1 0.1391 0.2040 0.7960  3 Dy 3.27-3.54, 7 Tb 3.28-3.47
Pm2 0.6391 0.7960 0.2040  3 Dy 3.27-3.54, 7 Tb 3.28-3.47

---

DFT (PBE) results for crystalline Sr2MgPb at its relaxed geometry.

Cell lengths 5.8680, 5.8680, 5.8680 Å; angles 60.00, 60.00, 60.00 degrees
Closest atoms and distances in Å follow each position.
Atoms (fractional coordinates):
Mg1 0.5000 0.5000 0.5000  4 Pb 3.59, 4 Sr 3.59
Sr1 0.2500 0.2500 0.2500  4 Mg 3.59, 4 Sr 3.59
Sr2 0.0000 0.0000 0.0000  4 Pb 3.59, 4 Sr 3.59
Pb1 0.7500 0.7500 0.7500  4 Mg 3.59, 4 Sr 3.59

---

DFT (PBE) results for crystalline LaCeYAl at its relaxed geometry.

Cell lengths 5.4719, 5.4719, 5.4719 Å; angles 60.00, 60.00, 60.00 degrees
Closest atoms and distances in Å follow each position.
Atoms (fractional coordinates):
Ce1 0.5000 0.5000 0.5000  4 Y 3.35, 4 Al 3.35
Y1 0.7500 0.7500 0.7500  4 Ce 3.35, 4 La 3.35
La1 0.0000 0.0000 0.0000  4 Al 3.35, 4 Y 3.35
Al1 0.2500 0.2500 0.2500  4 La 3.35, 4 Ce 3.35

---

E_tot readings, ordered: -3.330 -4.682 -2.895 -4.485 -2.252 -5.255 eV per atom
M_tot readings, ordered: 0.00 0.00 0.00 0.00 0.00 1.26 μB/cell